! GGA-PBE Cd2InCu2Pt5, optimized geometry; values from VASP
! E_tot = -4.554 eV per atom
! Spin magnetization = 0.000 μB/atom
&SYSTEM
  ibrav = 0, nat = 20, ntyp = 4
/
ATOMIC_SPECIES
Cd 112.41 Cd.upf
In 114.82 In.upf
Cu 63.55 Cu.upf
Pt 195.08 Pt.upf
CELL_PARAMETERS angstrom
3.9945 0.0000 0.0000
0.0000 9.1881 0.0000
0.0000 0.0000 9.1881
ATOMIC_POSITIONS crystal
Cd 0.0000 0.6708 0.1708
Cd 0.0000 0.3292 0.8292
Cd 0.0000 0.1708 0.3292
Cd 0.0000 0.8292 0.6708
In 0.0000 0.0000 0.0000
In 0.0000 0.5000 0.5000
Cu 0.0000 0.1244 0.6244
Cu 0.0000 0.8756 0.3756
Cu 0.0000 0.6244 0.8756
Cu 0.0000 0.3756 0.1244
Pt 0.5000 0.2026 0.0785
Pt 0.5000 0.7974 0.9215
Pt 0.5000 0.0785 0.7974
Pt 0.5000 0.7026 0.4215
Pt 0.5000 0.9215 0.2026
Pt 0.5000 0.2974 0.5785
Pt 0.5000 0.5785 0.7026
Pt 0.5000 0.4215 0.2974
Pt 0.5000 0.5000 0.0000
Pt 0.5000 0.0000 0.5000

=====

! GGA-PBE Na3Ti2VSe6, optimized geometry; values from VASP
! Uncorrected formation energy = -1.080 eV/atom
! E_tot = -5.228 eV per atom
! Spin magnetization = 0.329 μB/atom
&SYSTEM
  ibrav = 0, nat = 12, ntyp = 4
/
ATOMIC_SPECIES
Na 22.99 Na.upf
Ti 47.87 Ti.upf
V 50.94 V.upf
Se 78.96 Se.upf
CELL_PARAMETERS angstrom
6.5388 -0.0572 -0.0072
-3.3174 5.6351 -0.0072
-1.0819 -1.8733 7.0087
ATOMIC_POSITIONS crystal
Na 0.1734 0.8266 0.5000
Na 0.8266 0.1734 0.5000
Na 0.5000 0.5000 0.5000
Ti 0.3488 0.6512 0.0000
Ti 0.6512 0.3488 0.0000
V 0.0000 0.0000 0.0000
Se 0.9352 0.5984 0.7960
Se 0.7471 0.7471 0.2230
Se 0.0648 0.4016 0.2040
Se 0.5984 0.9352 0.7960
Se 0.2529 0.2529 0.7770
Se 0.4016 0.0648 0.2040

=====

! GGA-PBE MnSbH, optimized geometry; values from VASP
! E_tot = -5.489 eV per atom
! E above lowest polymorph = 0.02 eV per formula unit
! Spin magnetization = 0.632 μB/atom
&SYSTEM
  ibrav = 0, nat = 12, ntyp = 3
/
ATOMIC_SPECIES
Mn 54.94 Mn.upf
Sb 121.76 Sb.upf
H 1.01 H.upf
CELL_PARAMETERS angstrom
6.5577 0.0000 0.0713
0.0000 5.1097 0.0000
-0.0535 0.0000 5.1070
ATOMIC_POSITIONS crystal
Mn 0.0000 0.2500 0.0000
Mn 0.0000 0.7500 0.0000
Mn 0.0000 0.7500 0.5000
Mn 0.0000 0.2500 0.5000
Sb 0.6870 0.0000 0.7502
Sb 0.3130 0.0000 0.2498
Sb 0.6870 0.5000 0.2502
Sb 0.3130 0.5000 0.7498
H 0.0800 0.0000 0.7497
H 0.9200 0.0000 0.2503
H 0.0800 0.5000 0.2497
H 0.9200 0.5000 0.7503

=====

! GGA-PBE RbB2As2Se6, optimized geometry; values from VASP
! Uncorrected formation energy = -0.180 eV/atom
! E_tot = -4.228 eV per atom
! Spin magnetization = 0.000 μB/atom
&SYSTEM
  ibrav = 0, nat = 11, ntyp = 4
/
ATOMIC_SPECIES
Rb 85.47 Rb.upf
B 10.81 B.upf
As 74.92 As.upf
Se 78.96 Se.upf
CELL_PARAMETERS angstrom
-3.7674 5.1332 0.3670
-8.0333 -1.7340 -2.7173
6.1590 3.7842 10.1495
ATOMIC_POSITIONS crystal
Rb 0.5000 0.0000 0.5000
B 0.8515 0.2971 0.6862
B 0.1485 0.7029 0.3138
As 0.1351 0.7297 0.8303
As 0.8649 0.2703 0.1697
Se 0.4577 0.6234 0.9091
Se 0.0809 0.3765 0.0909
Se 0.0460 0.9083 0.5709
Se 0.9191 0.6235 0.9091
Se 0.9540 0.0917 0.4291
Se 0.5423 0.3766 0.0909